Material: Sc2TaRh
Method: DFT, PBE
State: optimized geometry

a = 3.1489 Å, b = 3.1489 Å, c = 7.5186 Å
α = 90.00°, β = 90.00°, γ = 90.00°
Sites, in units of the cell vectors:
Sc (0.0000, 0.0000, 0.9701)
Sc (0.0000, 0.0000, 0.5299)
Ta (0.5000, 0.5000, 0.2500)
Rh (0.5000, 0.5000, 0.7500)

## Properties
Energy relative to the elements (eV/atom): -0.36
Density (Mg/m³): 8.33
E_tot (Ha/atom): -0.3062
Distance to the lowest polymorph of the same formula (meV per atom): 0
Space group: P4/mmm, No. 123